# 1
Below is a geometry-optimized GeAuS structure, with properties calculated at the PBE level.

Structure (POSCAR):
```
GeAuS
1.0
3.619 0.000 0.000
-1.810 3.134 0.000
0.000 0.000 4.996
Ge Au S
1 1 1
direct
0.000 0.000 0.000
0.333 0.667 0.674
0.667 0.333 0.310
```

Values from the calculation:
* ρ: 8.8 g cm⁻³
* Fermi-level density of states: 0.44 states/eV/atom
* SG: No. 156
* calculated volume: 56.68 Å³/f.u.

# 2
Below is a geometry-optimized Ge3AuS structure, with properties calculated at the PBE level.

Structure (POSCAR):
```
Ge3AuS
1.0
5.026 0.000 0.000
0.000 5.026 0.000
0.000 0.000 5.026
Ge Au S
3 1 1
direct
0.000 0.000 0.500
0.000 0.500 0.000
0.500 0.000 0.000
0.000 0.000 0.000
0.500 0.500 0.500
```

Values from the calculation:
* ρ: 5.8 g cm⁻³
* Fermi-level density of states: 0.44 states/eV/atom
* SG: No. 221
* energy relative to the lowest polymorph listed for this composition: 76 meV per atom
* calculated volume: 126.95 Å³/f.u.

# 3
Below is a geometry-optimized Ge2AuS6 structure, with properties calculated at the PBE level.

Structure (POSCAR):
```
Ge2AuS6
1.0
5.757 -5.296 0.000
5.757 5.296 0.000
-0.256 0.000 6.509
Ge Au S
4 2 12
direct
0.118 0.260 0.295
0.260 0.118 0.795
0.740 0.882 0.205
0.882 0.740 0.705
0.386 0.614 0.750
0.614 0.386 0.250
0.020 0.215 0.612
0.108 0.625 0.893
0.215 0.020 0.112
0.313 0.457 0.337
0.375 0.892 0.607
0.457 0.313 0.837
0.543 0.687 0.163
0.625 0.108 0.393
0.687 0.543 0.663
0.785 0.980 0.888
0.892 0.375 0.107
0.980 0.785 0.388
```

Values from the calculation:
* ρ: 4.5 g cm⁻³
* Fermi-level density of states: 0.75 states/eV/atom
* SG: No. 15
* calculated volume: 198.41 Å³/f.u.

Energy relative to the elements, uncorrected (computed, meV per atom): -19, 687, 16